[1]
Compound: CuPtRh2
Source: Alexandria
Functional: PBEsol
Structure: optimized geometry Values from VASP.

**E_form**: -0.0039 eV per atom
**Space group**: I4/mmm (139)
**Energy above the most stable polymorph in this dataset**: 0.022 eV per atom
**Total magnetic moment**: 0.0001 μB per atom

Quantum ESPRESSO input file:
```
&SYSTEM
  ibrav = 0, nat = 4, ntyp = 3
/
ATOMIC_SPECIES
Cu 63.55 Cu.upf
Pt 195.08 Pt.upf
Rh 102.91 Rh.upf
ATOMIC_POSITIONS crystal
Cu 0.000 0.000 0.000
Pt 0.500 0.500 0.000
Rh 0.250 0.750 0.500
Rh 0.750 0.250 0.500
CELL_PARAMETERS angstrom
-1.887 1.887 3.758
1.887 -1.887 3.758
1.887 1.887 -3.758
```

---

[2]
Compound: CuPtRh2
Source: Alexandria
Functional: PBEsol
Structure: optimized geometry Values from VASP.

**E_form**: 0.0242 eV per atom
**Space group**: P4/mmm (123)
**Energy above the most stable polymorph in this dataset**: 0.050 eV per atom
**Total magnetic moment**: 0.0001 μB per atom

Quantum ESPRESSO input file:
```
&SYSTEM
  ibrav = 0, nat = 4, ntyp = 3
/
ATOMIC_SPECIES
Cu 63.55 Cu.upf
Pt 195.08 Pt.upf
Rh 102.91 Rh.upf
ATOMIC_POSITIONS crystal
Cu 0.000 0.000 0.000
Pt 0.500 0.500 0.000
Rh 0.000 0.500 0.500
Rh 0.500 0.000 0.500
CELL_PARAMETERS angstrom
3.747 0.000 0.000
0.000 3.747 0.000
0.000 0.000 3.829
```

---

[3]
Compound: CuPtRh2
Source: Alexandria
Functional: PBEsol
Structure: optimized geometry Values from VASP.

**E_form**: -0.0261 eV per atom
**Space group**: I-4m2 (119)
**Energy above the most stable polymorph in this dataset**: 0.000 eV per atom
**Total magnetic moment**: 0.0000 μB per atom

Quantum ESPRESSO input file:
```
&SYSTEM
  ibrav = 0, nat = 4, ntyp = 3
/
ATOMIC_SPECIES
Cu 63.55 Cu.upf
Pt 195.08 Pt.upf
Rh 102.91 Rh.upf
ATOMIC_POSITIONS crystal
Cu 0.000 0.000 0.000
Pt 0.250 0.750 0.500
Rh 0.500 0.500 0.000
Rh 0.750 0.250 0.500
CELL_PARAMETERS angstrom
-1.891 1.891 3.746
1.891 -1.891 3.746
1.891 1.891 -3.746
```

---

[4]
Compound: Cu2PtRh
Source: Alexandria
Functional: PBEsol
Structure: optimized geometry Values from VASP.

**E_form**: -0.0430 eV per atom
**Space group**: C2/m (12)
**Energy above the most stable polymorph in this dataset**: 0.000 eV per atom
**Total magnetic moment**: 0.0003 μB per atom

Quantum ESPRESSO input file:
```
&SYSTEM
  ibrav = 0, nat = 4, ntyp = 3
/
ATOMIC_SPECIES
Cu 63.55 Cu.upf
Pt 195.08 Pt.upf
Rh 102.91 Rh.upf
ATOMIC_POSITIONS crystal
Cu 0.249 0.249 0.245
Cu 0.751 0.751 0.755
Pt 0.000 0.000 0.500
Rh 0.500 0.500 0.000
CELL_PARAMETERS angstrom
4.293 -1.331 0.000
4.293 1.331 0.000
-0.825 0.000 4.547
```

---

[5]
Compound: CuRu2Pt
Source: Alexandria
Functional: PBEsol
Structure: optimized geometry Values from VASP.

**E_form**: 0.2156 eV per atom
**Space group**: R-3m (166)
**Energy above the most stable polymorph in this dataset**: 0.174 eV per atom
**Total magnetic moment**: 0.0003 μB per atom

Quantum ESPRESSO input file:
```
&SYSTEM
  ibrav = 0, nat = 4, ntyp = 3
/
ATOMIC_SPECIES
Cu 63.55 Cu.upf
Ru 101.07 Ru.upf
Pt 195.08 Pt.upf
ATOMIC_POSITIONS crystal
Cu 0.000 0.000 0.000
Ru 0.253 0.253 0.253
Ru 0.747 0.747 0.747
Pt 0.500 0.500 0.500
CELL_PARAMETERS angstrom
1.336 0.771 8.673
-1.336 0.771 8.673
0.000 -1.542 8.673
```

---

[6]
Compound: CuRu2Pt
Source: Alexandria
Functional: PBEsol
Structure: optimized geometry Values from VASP.

**E_form**: 0.0416 eV per atom
**Space group**: P4mm (99)
**Energy above the most stable polymorph in this dataset**: 0.000 eV per atom
**Total magnetic moment**: 0.0001 μB per atom

Quantum ESPRESSO input file:
```
&SYSTEM
  ibrav = 0, nat = 4, ntyp = 3
/
ATOMIC_SPECIES
Cu 63.55 Cu.upf
Ru 101.07 Ru.upf
Pt 195.08 Pt.upf
ATOMIC_POSITIONS crystal
Cu 0.000 0.000 0.000
Ru 0.000 0.000 0.517
Ru 0.500 0.500 0.751
Pt 0.500 0.500 0.248
CELL_PARAMETERS angstrom
2.696 0.000 0.000
0.000 2.696 0.000
0.000 0.000 7.342
```

---

[7]
Compound: Cu2RuPt
Source: Alexandria
Functional: PBEsol
Structure: optimized geometry Values from VASP.

**E_form**: 0.1212 eV per atom
**Space group**: Pmm2 (25)
**Energy above the most stable polymorph in this dataset**: 0.000 eV per atom
**Total magnetic moment**: 0.0018 μB per atom

Quantum ESPRESSO input file:
```
&SYSTEM
  ibrav = 0, nat = 4, ntyp = 3
/
ATOMIC_SPECIES
Cu 63.55 Cu.upf
Ru 101.07 Ru.upf
Pt 195.08 Pt.upf
ATOMIC_POSITIONS crystal
Cu 0.000 0.000 0.000
Cu 0.500 0.500 0.230
Ru 0.500 0.500 0.742
Pt 0.000 0.000 0.496
CELL_PARAMETERS angstrom
2.636 0.000 0.000
0.000 3.767 0.000
0.000 0.000 5.224
```

---

[8]
Compound: Cu2RuPt
Source: Alexandria
Functional: PBEsol
Structure: optimized geometry Values from VASP.

**E_form**: 0.1484 eV per atom
**Space group**: I-4m2 (119)
**Energy above the most stable polymorph in this dataset**: 0.027 eV per atom
**Total magnetic moment**: 0.0006 μB per atom

Quantum ESPRESSO input file:
```
&SYSTEM
  ibrav = 0, nat = 4, ntyp = 3
/
ATOMIC_SPECIES
Cu 63.55 Cu.upf
Ru 101.07 Ru.upf
Pt 195.08 Pt.upf
ATOMIC_POSITIONS crystal
Cu 0.000 0.000 0.000
Cu 0.750 0.250 0.500
Ru 0.250 0.750 0.500
Pt 0.500 0.500 0.000
CELL_PARAMETERS angstrom
-1.862 1.862 3.714
1.862 -1.862 3.714
1.862 1.862 -3.714
```

---

[9]
Compound: CuRu2Pt
Source: Alexandria
Functional: PBEsol
Structure: optimized geometry Values from VASP.

**E_form**: 0.2040 eV per atom
**Space group**: Pmmm (47)
**Energy above the most stable polymorph in this dataset**: 0.162 eV per atom
**Total magnetic moment**: 0.0000 μB per atom

Quantum ESPRESSO input file:
```
&SYSTEM
  ibrav = 0, nat = 4, ntyp = 3
/
ATOMIC_SPECIES
Cu 63.55 Cu.upf
Ru 101.07 Ru.upf
Pt 195.08 Pt.upf
ATOMIC_POSITIONS crystal
Cu 0.000 0.000 0.000
Ru 0.500 0.500 0.238
Ru 0.500 0.500 0.762
Pt 0.000 0.000 0.500
CELL_PARAMETERS angstrom
2.671 0.000 0.000
0.000 3.868 0.000
0.000 0.000 5.171
```

---

[10]
Compound: CuRu2Pt
Source: Alexandria
Functional: PBEsol
Structure: optimized geometry Values from VASP.

**E_form**: 0.2374 eV per atom
**Space group**: Cmmm (65)
**Energy above the most stable polymorph in this dataset**: 0.196 eV per atom
**Total magnetic moment**: 0.0007 μB per atom

Quantum ESPRESSO input file:
```
&SYSTEM
  ibrav = 0, nat = 4, ntyp = 3
/
ATOMIC_SPECIES
Cu 63.55 Cu.upf
Ru 101.07 Ru.upf
Pt 195.08 Pt.upf
ATOMIC_POSITIONS crystal
Cu 0.000 0.000 0.000
Ru 0.000 0.500 0.500
Ru 0.500 0.000 0.500
Pt 0.500 0.500 0.000
CELL_PARAMETERS angstrom
2.583 -3.951 0.000
2.583 3.951 0.000
0.000 0.000 2.633
```

---

[11]
Compound: CuRu2Pt
Source: Alexandria
Functional: PBEsol
Structure: optimized geometry Values from VASP.

**E_form**: 0.2411 eV per atom
**Space group**: P4/mmm (123)
**Energy above the most stable polymorph in this dataset**: 0.200 eV per atom
**Total magnetic moment**: 0.0019 μB per atom

Quantum ESPRESSO input file:
```
&SYSTEM
  ibrav = 0, nat = 4, ntyp = 3
/
ATOMIC_SPECIES
Cu 63.55 Cu.upf
Ru 101.07 Ru.upf
Pt 195.08 Pt.upf
ATOMIC_POSITIONS crystal
Cu 0.000 0.000 0.000
Ru 0.500 0.500 0.240
Ru 0.500 0.500 0.760
Pt 0.000 0.000 0.500
CELL_PARAMETERS angstrom
2.669 0.000 0.000
0.000 2.669 0.000
0.000 0.000 7.475
```

---

[12]
Compound: CuRuPt
Source: Alexandria
Functional: PBEsol
Structure: optimized geometry Values from VASP.

**E_form**: 0.2685 eV per atom
**Space group**: Fmm2 (42)
**Total magnetic moment**: 0.0012 μB per atom

Quantum ESPRESSO input file:
```
&SYSTEM
  ibrav = 0, nat = 3, ntyp = 3
/
ATOMIC_SPECIES
Cu 63.55 Cu.upf
Ru 101.07 Ru.upf
Pt 195.08 Pt.upf
ATOMIC_POSITIONS crystal
Cu 0.000 0.000 0.000
Ru 0.660 0.660 0.340
Pt 0.335 0.335 0.665
CELL_PARAMETERS angstrom
0.000 2.273 6.741
1.338 0.000 6.741
1.338 2.273 0.000
```